Below is a geometry-optimized AcPaCo structure, with properties calculated at the GGA-PBE level.

Properties
ΔH_f (0 K) in eV per formula unit: -0.15

Unit cell a=5.154 b=5.154 c=6.303 alpha=79.10 beta=79.10 gamma=91.82
Atoms (fractional coordinates):
Pa: 0.763 0.763 0.312
Pa: 0.263 0.263 0.312
Co: 0.770 0.270 0.286
Co: 0.270 0.770 0.286
Ac: 0.641 0.141 0.807
Ac: 0.141 0.641 0.807